Entry from Alexandria: crystalline SmGdDyY at its relaxed geometry (PBE-GGA).

abc: 8.0710 8.0710 8.0710
angles: 90.00 90.00 90.00
Closest atoms and distances in Å follow each position.
Positions (direct):
1 Sm 0.0000 0.0000 0.0000  4 Dy 3.49, 4 Y 3.49
2 Sm 0.0000 0.5000 0.5000  4 Dy 3.49, 4 Y 3.49
3 Sm 0.5000 0.0000 0.5000  4 Dy 3.49, 4 Y 3.49
4 Sm 0.5000 0.5000 0.0000  4 Dy 3.49, 4 Y 3.49
5 Gd 0.0000 0.0000 0.5000  4 Dy 3.49, 4 Y 3.49
6 Gd 0.0000 0.5000 0.0000  4 Dy 3.49, 4 Y 3.49
7 Gd 0.5000 0.0000 0.0000  4 Dy 3.49, 4 Y 3.49
8 Gd 0.5000 0.5000 0.5000  4 Dy 3.49, 4 Y 3.49
9 Dy 0.2500 0.2500 0.7500  4 Gd 3.49, 4 Sm 3.49
10 Dy 0.2500 0.7500 0.2500  4 Gd 3.49, 4 Sm 3.49
11 Dy 0.7500 0.2500 0.2500  4 Gd 3.49, 4 Sm 3.49
12 Dy 0.7500 0.7500 0.7500  4 Sm 3.49, 4 Gd 3.49
13 Y 0.2500 0.2500 0.2500  4 Gd 3.49, 4 Sm 3.49
14 Y 0.2500 0.7500 0.7500  4 Gd 3.49, 4 Sm 3.49
15 Y 0.7500 0.2500 0.7500  4 Gd 3.49, 4 Sm 3.49
16 Y 0.7500 0.7500 0.2500  4 Gd 3.49, 4 Sm 3.49

## Properties
E_form (meV per atom): 115.0
Fermi-level density of states (states/eV per cell): 34.840
SG: F-43m
M_tot (μB per atom): 2.08
Energy (eV/cell): -117.63

Entry from Alexandria: crystalline SmGdDyZn at its relaxed geometry (PBE-GGA).

abc: 7.5894 7.5894 7.5894
angles: 90.00 90.00 90.00
Closest atoms and distances in Å follow each position.
Positions (direct):
1 Sm 0.0000 0.0000 0.0000  4 Gd 3.29, 4 Zn 3.29
2 Sm 0.0000 0.5000 0.5000  4 Gd 3.29, 4 Zn 3.29
3 Sm 0.5000 0.0000 0.5000  4 Gd 3.29, 4 Zn 3.29
4 Sm 0.5000 0.5000 0.0000  4 Gd 3.29, 4 Zn 3.29
5 Gd 0.2500 0.2500 0.2500  4 Dy 3.29, 4 Sm 3.29
6 Gd 0.2500 0.7500 0.7500  4 Dy 3.29, 4 Sm 3.29
7 Gd 0.7500 0.2500 0.7500  4 Dy 3.29, 4 Sm 3.29
8 Gd 0.7500 0.7500 0.2500  4 Dy 3.29, 4 Sm 3.29
9 Dy 0.0000 0.0000 0.5000  4 Zn 3.29, 4 Gd 3.29
10 Dy 0.0000 0.5000 0.0000  4 Zn 3.29, 4 Gd 3.29
11 Dy 0.5000 0.0000 0.0000  4 Zn 3.29, 4 Gd 3.29
12 Dy 0.5000 0.5000 0.5000  4 Gd 3.29, 4 Zn 3.29
13 Zn 0.2500 0.2500 0.7500  4 Dy 3.29, 4 Sm 3.29
14 Zn 0.2500 0.7500 0.2500  4 Dy 3.29, 4 Sm 3.29
15 Zn 0.7500 0.2500 0.2500  4 Dy 3.29, 4 Sm 3.29
16 Zn 0.7500 0.7500 0.7500  4 Dy 3.29, 4 Sm 3.29

## Properties
E_form (meV per atom): 42.8
Fermi-level density of states (states/eV per cell): 23.162
SG: F-43m
M_tot (μB per atom): 1.89
Energy (eV/cell): -98.02

Entry from Alexandria: crystalline SmGdDyZr at its relaxed geometry (PBE-GGA).

abc: 7.8270 7.8270 7.8270
angles: 90.00 90.00 90.00
Closest atoms and distances in Å follow each position.
Positions (direct):
1 Sm 0.0000 0.0000 0.0000  4 Dy 3.39, 4 Gd 3.39
2 Sm 0.0000 0.5000 0.5000  4 Dy 3.39, 4 Gd 3.39
3 Sm 0.5000 0.0000 0.5000  4 Dy 3.39, 4 Gd 3.39
4 Sm 0.5000 0.5000 0.0000  4 Dy 3.39, 4 Gd 3.39
5 Gd 0.2500 0.2500 0.2500  4 Sm 3.39, 4 Zr 3.39
6 Gd 0.2500 0.7500 0.7500  4 Sm 3.39, 4 Zr 3.39
7 Gd 0.7500 0.2500 0.7500  4 Sm 3.39, 4 Zr 3.39
8 Gd 0.7500 0.7500 0.2500  4 Sm 3.39, 4 Zr 3.39
9 Dy 0.2500 0.2500 0.7500  4 Zr 3.39, 4 Sm 3.39
10 Dy 0.2500 0.7500 0.2500  4 Zr 3.39, 4 Sm 3.39
11 Dy 0.7500 0.2500 0.2500  4 Zr 3.39, 4 Sm 3.39
12 Dy 0.7500 0.7500 0.7500  4 Zr 3.39, 4 Sm 3.39
13 Zr 0.0000 0.0000 0.5000  4 Gd 3.39, 4 Dy 3.39
14 Zr 0.0000 0.5000 0.0000  4 Gd 3.39, 4 Dy 3.39
15 Zr 0.5000 0.0000 0.0000  4 Gd 3.39, 4 Dy 3.39
16 Zr 0.5000 0.5000 0.5000  4 Gd 3.39, 4 Dy 3.39

## Properties
E_form (meV per atom): 211.8
Fermi-level density of states (states/eV per cell): 25.827
SG: F-43m
M_tot (μB per atom): 2.40
Energy (eV/cell): -124.41

Entry from Alexandria: crystalline Gd2DySn at its relaxed geometry (PBE-GGA).

abc: 7.6931 7.6931 7.6931
angles: 90.00 90.00 90.00
Closest atoms and distances in Å follow each position.
Positions (direct):
1 Gd 0.2500 0.2500 0.2500  4 Sn 3.33, 4 Dy 3.33
2 Gd 0.2500 0.2500 0.7500  4 Sn 3.33, 4 Dy 3.33
3 Gd 0.2500 0.7500 0.2500  4 Sn 3.33, 4 Dy 3.33
4 Gd 0.2500 0.7500 0.7500  4 Sn 3.33, 4 Dy 3.33
5 Gd 0.7500 0.2500 0.2500  4 Sn 3.33, 4 Dy 3.33
6 Gd 0.7500 0.2500 0.7500  4 Sn 3.33, 4 Dy 3.33
7 Gd 0.7500 0.7500 0.2500  4 Sn 3.33, 4 Dy 3.33
8 Gd 0.7500 0.7500 0.7500  4 Dy 3.33, 4 Sn 3.33
9 Dy 0.0000 0.0000 0.0000  8 Gd 3.33
10 Dy 0.0000 0.5000 0.5000  8 Gd 3.33
11 Dy 0.5000 0.0000 0.5000  8 Gd 3.33
12 Dy 0.5000 0.5000 0.0000  8 Gd 3.33
13 Sn 0.0000 0.0000 0.5000  8 Gd 3.33
14 Sn 0.0000 0.5000 0.0000  8 Gd 3.33
15 Sn 0.5000 0.0000 0.0000  8 Gd 3.33
16 Sn 0.5000 0.5000 0.5000  8 Gd 3.33

## Properties
E_form (meV per atom): -271.4
Fermi-level density of states (states/eV per cell): 15.183
SG: Fm-3m
M_tot (μB per atom): 3.80
Energy above the most stable polymorph in this dataset (meV per atom): 170
Energy (eV/cell): -151.41

Entry from Alexandria: crystalline GdDySn at its relaxed geometry (PBE-GGA).

abc: 3.5522 3.5522 13.8681
angles: 90.00 90.00 90.00
Closest atoms and distances in Å follow each position.
Positions (direct):
1 Gd 0.0000 0.0000 0.0000  4 Sn 3.30, 4 Gd 3.55, 4 Dy 3.69
2 Gd 0.5000 0.5000 0.5000  4 Sn 3.30, 4 Gd 3.55, 4 Dy 3.69
3 Dy 0.0000 0.0000 0.3052  4 Sn 3.27, 4 Dy 3.55
4 Dy 0.5000 0.5000 0.8052  4 Sn 3.27, 4 Dy 3.55
5 Sn 0.0000 0.0000 0.6546  4 Dy 3.27, 4 Gd 3.30, 4 Sn 3.55
6 Sn 0.5000 0.5000 0.1546  4 Dy 3.27, 4 Gd 3.30, 4 Sn 3.55

## Properties
E_form (meV per atom): -432.5
Fermi-level density of states (states/eV per cell): 6.118
SG: I4mm
M_tot (μB per atom): 2.47
Energy above the most stable polymorph in this dataset (meV per atom): 0
Energy (eV/cell): -47.97

Entry from Alexandria: crystalline GdDySn at its relaxed geometry (PBE-GGA).

abc: 7.2949 7.2949 7.2949
angles: 90.00 90.00 90.00
Closest atoms and distances in Å follow each position.
Positions (direct):
1 Gd 0.0000 0.0000 0.0000  4 Sn 3.16
2 Gd 0.0000 0.5000 0.5000  4 Sn 3.16
3 Gd 0.5000 0.0000 0.5000  4 Sn 3.16
4 Gd 0.5000 0.5000 0.0000  4 Sn 3.16
5 Dy 0.0000 0.0000 0.5000  4 Sn 3.16
6 Dy 0.0000 0.5000 0.0000  4 Sn 3.16
7 Dy 0.5000 0.0000 0.0000  4 Sn 3.16
8 Dy 0.5000 0.5000 0.5000  4 Sn 3.16
9 Sn 0.2500 0.2500 0.2500  4 Gd 3.16, 4 Dy 3.16
10 Sn 0.2500 0.7500 0.7500  4 Gd 3.16, 4 Dy 3.16
11 Sn 0.7500 0.2500 0.7500  4 Gd 3.16, 4 Dy 3.16
12 Sn 0.7500 0.7500 0.2500  4 Gd 3.16, 4 Dy 3.16

## Properties
E_form (meV per atom): -411.6
Fermi-level density of states (states/eV per cell): 18.981
SG: F-43m
M_tot (μB per atom): 2.66
Energy above the most stable polymorph in this dataset (meV per atom): 21
Energy (eV/cell): -95.68

Entry from Alexandria: crystalline GdDySn2 at its relaxed geometry (PBE-GGA).

abc: 3.9027 3.9027 26.6602
angles: 90.00 90.00 120.00
Closest atoms and distances in Å follow each position.
Positions (direct):
1 Gd 0.0000 0.0000 0.0000  6 Sn 3.18
2 Gd 0.3333 0.6667 0.6667  6 Sn 3.18
3 Gd 0.6667 0.3333 0.3333  6 Sn 3.18
4 Dy 0.0000 0.0000 0.5000  6 Sn 3.15
5 Dy 0.3333 0.6667 0.1667  6 Sn 3.15
6 Dy 0.6667 0.3333 0.8333  6 Sn 3.15
7 Sn 0.0000 0.0000 0.2492  3 Dy 3.15, 3 Gd 3.18
8 Sn 0.0000 0.0000 0.7508  3 Dy 3.15, 3 Gd 3.18
9 Sn 0.3333 0.6667 0.4175  3 Dy 3.15, 3 Gd 3.18
10 Sn 0.3333 0.6667 0.9159  3 Dy 3.15, 3 Gd 3.18
11 Sn 0.6667 0.3333 0.0841  3 Dy 3.15, 3 Gd 3.18
12 Sn 0.6667 0.3333 0.5825  3 Dy 3.15, 3 Gd 3.18

## Properties
E_form (meV per atom): -531.6
Fermi-level density of states (states/eV per cell): 8.020
SG: R-3m
M_tot (μB per atom): 1.78
Energy above the most stable polymorph in this dataset (meV per atom): 132
Energy (eV/cell): -86.44

Entry from Alexandria: crystalline Gd2DySn at its relaxed geometry (PBE-GGA).

abc: 3.5196 3.5196 36.0457
angles: 90.00 90.00 120.00
Closest atoms and distances in Å follow each position.
Positions (direct):
1 Gd 0.0000 0.0000 0.0872  1 Sn 3.14, 3 Dy 3.51, 6 Gd 3.52
2 Gd 0.0000 0.0000 0.9128  1 Sn 3.14, 3 Dy 3.51, 6 Gd 3.52
3 Gd 0.3333 0.6667 0.5794  1 Sn 3.14, 3 Dy 3.51, 6 Gd 3.52
4 Gd 0.3333 0.6667 0.7539  1 Sn 3.14, 3 Dy 3.51, 6 Gd 3.52
5 Gd 0.6667 0.3333 0.2461  1 Sn 3.14, 3 Dy 3.51, 6 Gd 3.52
6 Gd 0.6667 0.3333 0.4206  1 Sn 3.14, 3 Dy 3.51, 6 Gd 3.52
7 Dy 0.0000 0.0000 0.5000  6 Gd 3.51, 6 Dy 3.52
8 Dy 0.3333 0.6667 0.1667  6 Gd 3.51, 6 Dy 3.52
9 Dy 0.6667 0.3333 0.8333  6 Gd 3.51, 6 Dy 3.52
10 Sn 0.0000 0.0000 0.0000  2 Gd 3.14, 6 Sn 3.52
11 Sn 0.3333 0.6667 0.6667  2 Gd 3.14, 6 Sn 3.52
12 Sn 0.6667 0.3333 0.3333  2 Gd 3.14, 6 Sn 3.52

## Properties
E_form (meV per atom): 55.2
Fermi-level density of states (states/eV per cell): 15.669
SG: R-3m
M_tot (μB per atom): 3.63
Energy above the most stable polymorph in this dataset (meV per atom): 497
Energy (eV/cell): -109.64

Entry from Alexandria: crystalline Gd2DySn at its relaxed geometry (PBE-GGA).

abc: 4.1956 4.1956 6.6981
angles: 90.00 90.00 90.00
Closest atoms and distances in Å follow each position.
Positions (direct):
1 Gd 0.0000 0.0000 0.2314  1 Gd 3.10, 4 Sn 3.35, 4 Dy 3.47
2 Gd 0.0000 0.0000 0.7686  1 Gd 3.10, 4 Sn 3.35, 4 Dy 3.47
3 Dy 0.5000 0.5000 0.5000  2 Sn 3.35, 8 Gd 3.47
4 Sn 0.5000 0.5000 0.0000  8 Gd 3.35, 2 Dy 3.35

## Properties
E_form (meV per atom): -356.3
Fermi-level density of states (states/eV per cell): 4.087
SG: P4/mmm
M_tot (μB per atom): 3.76
Energy above the most stable polymorph in this dataset (meV per atom): 85
Energy (eV/cell): -38.19

Entry from Alexandria: crystalline GdDySn2 at its relaxed geometry (PBE-GGA).

abc: 7.6016 7.6016 7.6016
angles: 90.00 90.00 90.00
Closest atoms and distances in Å follow each position.
Positions (direct):
1 Gd 0.0000 0.0000 0.0000  8 Sn 3.29
2 Gd 0.0000 0.5000 0.5000  8 Sn 3.29
3 Gd 0.5000 0.0000 0.5000  8 Sn 3.29
4 Gd 0.5000 0.5000 0.0000  8 Sn 3.29
5 Dy 0.0000 0.0000 0.5000  8 Sn 3.29
6 Dy 0.0000 0.5000 0.0000  8 Sn 3.29
7 Dy 0.5000 0.0000 0.0000  8 Sn 3.29
8 Dy 0.5000 0.5000 0.5000  8 Sn 3.29
9 Sn 0.2500 0.2500 0.2500  4 Gd 3.29, 4 Dy 3.29
10 Sn 0.2500 0.2500 0.7500  4 Dy 3.29, 4 Gd 3.29
11 Sn 0.2500 0.7500 0.2500  4 Dy 3.29, 4 Gd 3.29
12 Sn 0.2500 0.7500 0.7500  4 Gd 3.29, 4 Dy 3.29
13 Sn 0.7500 0.2500 0.2500  4 Dy 3.29, 4 Gd 3.29
14 Sn 0.7500 0.2500 0.7500  4 Gd 3.29, 4 Dy 3.29
15 Sn 0.7500 0.7500 0.2500  4 Gd 3.29, 4 Dy 3.29
16 Sn 0.7500 0.7500 0.7500  4 Dy 3.29, 4 Gd 3.29

## Properties
E_form (meV per atom): -573.4
Fermi-level density of states (states/eV per cell): 17.201
SG: Fm-3m
M_tot (μB per atom): 1.84
Energy above the most stable polymorph in this dataset (meV per atom): 90
Energy (eV/cell): -115.93

Entry from Alexandria: crystalline GdDySn2 at its relaxed geometry (PBE-GGA).

abc: 3.4662 3.4662 8.8934
angles: 90.00 90.00 90.00
Closest atoms and distances in Å follow each position.
Positions (direct):
1 Gd 0.0000 0.0000 0.0000  8 Sn 3.33, 4 Gd 3.47
2 Dy 0.0000 0.0000 0.5000  8 Sn 3.29, 4 Dy 3.47
3 Sn 0.5000 0.5000 0.2533  4 Dy 3.29, 4 Gd 3.33, 4 Sn 3.47
4 Sn 0.5000 0.5000 0.7467  4 Dy 3.29, 4 Gd 3.33, 4 Sn 3.47

## Properties
E_form (meV per atom): -663.4
Fermi-level density of states (states/eV per cell): 3.041
SG: P4/mmm
M_tot (μB per atom): 1.85
Energy above the most stable polymorph in this dataset (meV per atom): 0
Energy (eV/cell): -29.34

Entry from Alexandria: crystalline Gd2DySn at its relaxed geometry (PBE-GGA).

abc: 4.8200 4.8200 4.8827
angles: 90.00 90.00 90.00
Closest atoms and distances in Å follow each position.
Positions (direct):
1 Gd 0.0000 0.5000 0.0000  4 Gd 3.41, 4 Sn 3.43, 4 Dy 3.43
2 Gd 0.5000 0.0000 0.0000  4 Gd 3.41, 4 Sn 3.43, 4 Dy 3.43
3 Dy 0.0000 0.0000 0.5000  4 Sn 3.41, 8 Gd 3.43
4 Sn 0.5000 0.5000 0.5000  4 Dy 3.41, 8 Gd 3.43

## Properties
E_form (meV per atom): -441.7
Fermi-level density of states (states/eV per cell): 5.571
SG: P4/mmm
M_tot (μB per atom): 3.81
Energy above the most stable polymorph in this dataset (meV per atom): 0
Energy (eV/cell): -38.53